Entry 1:
Density functional theory data (GGA+U) for CsPa2Mn2O7 after structural relaxation.

## Properties
The raw total energy comes out at -202.565 eV for the cell shown.

Cell lengths 4.4699, 4.4699, 19.0842 Å; angles 90.00, 90.00, 90.00 degrees
Space group I4/mmm (No. 139)
Inequivalent atoms, fractional coordinates:
Cs (0.0000, 0.0000, 0.0000) [2 per cell]
Pa (0.0000, 0.0000, 0.3828) [4 per cell]
Mn (0.0000, 0.5000, 0.2500) [4 per cell]
O (0.0000, 0.0000, 0.2653) [4 per cell]
O (0.0000, 0.0000, 0.5000) [2 per cell]
O (0.0000, 0.5000, 0.1298) [8 per cell]

Entry 2:
Density functional theory data (GGA+U) for CsPa2MnO8 after structural relaxation.

## Properties
The raw total energy comes out at -96.506 eV for the cell shown.

Cell lengths 5.2328, 5.4385, 7.0972 Å; angles 83.96, 68.95, 76.65 degrees
Space group P-1 (No. 2)
Inequivalent atoms, fractional coordinates:
Cs (0.0000, 0.0000, 0.0000) [1 per cell]
Pa (0.3593, 0.4335, 0.3094) [2 per cell]
Mn (0.0000, 0.0000, 0.5000) [1 per cell]
O (0.0504, 0.2871, 0.6120) [2 per cell]
O (0.2915, 0.0831, 0.2679) [2 per cell]
O (0.3069, 0.7283, 0.5589) [2 per cell]
O (0.3241, 0.4739, 0.9711) [2 per cell]

Entry 3:
Density functional theory data (GGA+U) for CsPaMnO6 after structural relaxation.

## Properties
The raw total energy comes out at -130.387 eV for the cell shown.

Cell lengths 5.4637, 9.4562, 6.7369 Å; angles 90.00, 90.08, 90.00 degrees
Space group C2 (No. 5)
Inequivalent atoms, fractional coordinates:
Cs (0.0000, 0.0000, 0.0000) [2 per cell]
Pa (0.0000, 0.6666, 0.5000) [2 per cell]
Mn (0.0000, 0.3331, 0.5000) [2 per cell]
O (0.1174, 0.4863, 0.6613) [4 per cell]
O (0.1717, 0.1978, 0.6614) [4 per cell]
O (0.2122, 0.8151, 0.6615) [4 per cell]

Entry 4:
Density functional theory data (GGA+U) for CsPaMnO4 after structural relaxation.

## Properties
The raw total energy comes out at -219.673 eV for the cell shown.

Cell lengths 6.9464, 7.2349, 10.5591 Å; angles 90.00, 90.00, 90.00 degrees
Space group Imma (No. 74)
Inequivalent atoms, fractional coordinates:
Cs (0.0000, 0.2500, 0.1526) [4 per cell]
Pa (0.0000, 0.0000, 0.5000) [4 per cell]
Mn (0.2500, 0.2500, 0.7500) [4 per cell]
O (0.0000, 0.0615, 0.7006) [8 per cell]
O (0.1884, 0.2500, 0.5007) [8 per cell]

Entry 5:
Density functional theory data (GGA+U) for Cs3Pa2MnO9 after structural relaxation.

## Properties
The raw total energy comes out at -108.437 eV for the cell shown.

Cell lengths 6.1045, 6.1045, 7.4687 Å; angles 90.00, 90.00, 120.00 degrees
Space group P-3m1 (No. 164)
Inequivalent atoms, fractional coordinates:
Cs (0.0000, 0.0000, 0.0000) [1 per cell]
Cs (0.3333, 0.6667, 0.6655) [2 per cell]
Pa (0.3333, 0.6667, 0.1830) [2 per cell]
Mn (0.0000, 0.0000, 0.5000) [1 per cell]
O (0.0000, 0.5000, 0.0000) [3 per cell]
O (0.1593, 0.3187, 0.3434) [6 per cell]

Entry 6:
Density functional theory data (GGA+U) for Cs2MnPbO4 after structural relaxation.

## Properties
The raw total energy comes out at -85.999 eV for the cell shown.

Cell lengths 6.4301, 8.1534, 6.9231 Å; angles 90.00, 90.00, 90.00 degrees
Space group Pmmn (No. 59, origin choice 2)
Inequivalent atoms, fractional coordinates:
Cs (0.2500, 0.0079, 0.2292) [4 per cell]
Mn (0.2500, 0.7500, 0.6545) [2 per cell]
Pb (0.2500, 0.2500, 0.7068) [2 per cell]
O (0.0043, 0.7500, 0.5037) [4 per cell]
O (0.2500, 0.5619, 0.7820) [4 per cell]